Record 1
Here is K2SmUS4 after structural relaxation from Alexandria. Energies are from PBE.

Summary:
**Raw total energy**: -5.9482 eV per atom
**Density of states at the Fermi level**: 0.786 states/eV/atom
**Size of the total moment**: 3.0 μB/cell
**Calculated density**: 4581 kg/m3

Cell lengths 7.0993, 4.1023, 7.7745 Å; angles 90.00, 107.75, 90.00 degrees
Closest atoms and distances in Å follow each position.
Positions (direct):
K  0.0000  0.0000  0.0000  6 S 3.24
K  0.5000  0.5000  0.0000  6 S 3.20
Sm  0.0000  0.5000  0.5000  6 S 2.83-2.84
U  0.5000  0.0000  0.5000  6 S 2.79
S  0.2402  0.0000  0.7063  1 U 2.79, 2 Sm 2.83
S  0.2704  0.5000  0.2963  2 U 2.79, 1 Sm 2.84
S  0.7296  0.5000  0.7037  2 U 2.79, 1 Sm 2.84
S  0.7598  0.0000  0.2937  1 U 2.79, 2 Sm 2.83



Record 2
Here is K4SmU3S8 after structural relaxation from Alexandria. Energies are from PBE.

Summary:
**Raw total energy**: -6.2448 eV per atom
**Density of states at the Fermi level**: 0.917 states/eV/atom
**Size of the total moment**: 9.0 μB/cell
**Calculated density**: 4982 kg/m3

Cell lengths 8.7885, 8.7885, 8.7885 Å; angles 55.14, 55.14, 55.14 degrees
Closest atoms and distances in Å follow each position.
Positions (direct):
K  0.0000  0.0000  0.0000  6 S 3.19
K  0.0000  0.5000  0.5000  6 S 3.22-3.23
K  0.5000  0.0000  0.5000  6 S 3.22-3.23
K  0.5000  0.5000  0.0000  6 S 3.22-3.23
Sm  0.5000  0.5000  0.5000  6 S 2.83
U  0.0000  0.0000  0.5000  6 S 2.79
U  0.0000  0.5000  0.0000  6 S 2.79
U  0.5000  0.0000  0.0000  6 S 2.79
S  0.2305  0.7375  0.7375  2 U 2.79, 1 Sm 2.83
S  0.2341  0.2341  0.2341  3 U 2.79
S  0.2625  0.2625  0.7695  2 U 2.79, 1 Sm 2.83
S  0.2625  0.7695  0.2625  2 U 2.79, 1 Sm 2.83
S  0.7375  0.2305  0.7375  2 U 2.79, 1 Sm 2.83
S  0.7375  0.7375  0.2305  2 U 2.79, 1 Sm 2.83
S  0.7659  0.7659  0.7659  3 U 2.79
S  0.7695  0.2625  0.2625  2 U 2.79, 1 Sm 2.83



Record 3
Here is KSmUS4 after structural relaxation from Alexandria. Energies are from PBE.

Summary:
**Raw total energy**: -6.4130 eV per atom
**Density of states at the Fermi level**: 0.655 states/eV/atom
**Size of the total moment**: 4.0 μB/cell
**Calculated density**: 4345 kg/m3

Cell lengths 8.4316, 8.4316, 8.4316 Å; angles 120.41, 119.28, 90.28 degrees
Closest atoms and distances in Å follow each position.
Positions (direct):
K  0.3766  0.1266  0.2500  4 S 2.97-2.99
K  0.6234  0.8734  0.7500  4 S 2.97-2.99
Sm  0.0000  0.5000  0.5000  6 S 2.82-2.84
Sm  0.5000  0.5000  0.0000  6 S 2.82-2.84
U  0.0000  0.0000  0.5000  6 S 2.70-2.73
U  0.0000  0.5000  0.0000  6 S 2.70-2.73
S  0.1917  0.7365  0.4552  2 U 2.73, 1 Sm 2.84, 1 K 2.99
S  0.2188  0.2635  0.9552  2 U 2.73, 1 Sm 2.84, 1 K 2.99
S  0.2256  0.2573  0.5317  1 U 2.70, 2 Sm 2.82, 1 K 2.97
S  0.2256  0.6938  0.9683  1 U 2.70, 2 Sm 2.82, 1 K 2.97
S  0.7744  0.3062  0.0317  1 U 2.70, 2 Sm 2.82, 1 K 2.97
S  0.7744  0.7427  0.4683  1 U 2.70, 2 Sm 2.82, 1 K 2.97
S  0.7812  0.7365  0.0448  2 U 2.73, 1 Sm 2.84, 1 K 2.99
S  0.8083  0.2635  0.5448  2 U 2.73, 1 Sm 2.84, 1 K 2.99



Record 4
Here is K4Sm3US8 after structural relaxation from Alexandria. Energies are from PBE.

Summary:
**Raw total energy**: -5.6612 eV per atom
**Density of states at the Fermi level**: 0.538 states/eV/atom
**Size of the total moment**: 3.0 μB/cell
**Calculated density**: 4197 kg/m3

Cell lengths 8.7929, 8.7929, 8.7929 Å; angles 55.98, 55.98, 55.98 degrees
Closest atoms and distances in Å follow each position.
Positions (direct):
K  0.0000  0.0000  0.0000  6 S 3.26
K  0.0000  0.5000  0.5000  6 S 3.22
K  0.5000  0.0000  0.5000  6 S 3.22
K  0.5000  0.5000  0.0000  6 S 3.22
Sm  0.0000  0.0000  0.5000  6 S 2.83-2.84
Sm  0.0000  0.5000  0.0000  6 S 2.83-2.84
Sm  0.5000  0.0000  0.0000  6 S 2.83-2.84
U  0.5000  0.5000  0.5000  6 S 2.79
S  0.2356  0.2356  0.2356  3 Sm 2.83
S  0.2396  0.7325  0.7325  1 U 2.79, 2 Sm 2.84
S  0.2675  0.2675  0.7604  1 U 2.79, 2 Sm 2.84
S  0.2675  0.7604  0.2675  1 U 2.79, 2 Sm 2.84
S  0.7325  0.2396  0.7325  1 U 2.79, 2 Sm 2.84
S  0.7325  0.7325  0.2396  1 U 2.79, 2 Sm 2.84
S  0.7604  0.2675  0.2675  1 U 2.79, 2 Sm 2.84
S  0.7644  0.7644  0.7644  3 Sm 2.83



Record 5
Here is KSmZnS3 after structural relaxation from Alexandria. Energies are from PBE.

Summary:
**Raw total energy**: -4.7133 eV per atom
**Density of states at the Fermi level**: 0.000 states/eV/atom
**Size of the total moment**: 0.0 μB/cell
**Calculated density**: 3546 kg/m3

Cell lengths 8.8583, 4.0545, 9.5252 Å; angles 90.00, 106.06, 90.00 degrees
Closest atoms and distances in Å follow each position.
Positions (direct):
K  0.1985  0.2500  0.2249  7 S 3.24-3.57
K  0.8015  0.7500  0.7751  7 S 3.24-3.57
Sm  0.3333  0.7500  0.8538  6 S 2.76-2.98
Sm  0.6667  0.2500  0.1462  6 S 2.76-2.98
Zn  0.0832  0.2500  0.6063  4 S 2.30-2.43
Zn  0.9168  0.7500  0.3937  4 S 2.30-2.43
S  0.1120  0.2500  0.8542  1 Zn 2.30
S  0.1914  0.7500  0.5311  3 Zn 2.42-2.43
S  0.4533  0.7500  0.1543  3 Sm 2.76-2.79
S  0.5467  0.2500  0.8457  3 Sm 2.76-2.79
S  0.8086  0.2500  0.4689  3 Zn 2.42-2.43
S  0.8880  0.7500  0.1458  1 Zn 2.30



Record 6
Here is K4Sm3ZrS8 after structural relaxation from Alexandria. Energies are from PBE.

Summary:
**Raw total energy**: -5.5042 eV per atom
**Density of states at the Fermi level**: 0.299 states/eV/atom
**Size of the total moment**: 0.0 μB/cell
**Calculated density**: 3780 kg/m3

Cell lengths 8.7477, 8.7477, 8.7477 Å; angles 55.12, 55.12, 55.12 degrees
Closest atoms and distances in Å follow each position.
Positions (direct):
K  0.0000  0.0000  0.0000  6 S 3.30
K  0.0000  0.5000  0.5000  6 S 3.17
K  0.5000  0.0000  0.5000  6 S 3.17
K  0.5000  0.5000  0.0000  6 S 3.17
Sm  0.0000  0.0000  0.5000  6 S 2.81-2.83
Sm  0.0000  0.5000  0.0000  6 S 2.81-2.83
Sm  0.5000  0.0000  0.0000  6 S 2.81-2.83
Zr  0.5000  0.5000  0.5000  6 S 2.67
S  0.2367  0.2367  0.2367  3 Sm 2.81
S  0.2517  0.7254  0.7254  1 Zr 2.67, 2 Sm 2.83
S  0.2746  0.2746  0.7483  1 Zr 2.67, 2 Sm 2.83
S  0.2746  0.7483  0.2746  1 Zr 2.67, 2 Sm 2.83
S  0.7254  0.2517  0.7254  1 Zr 2.67, 2 Sm 2.83
S  0.7254  0.7254  0.2517  1 Zr 2.67, 2 Sm 2.83
S  0.7483  0.2746  0.2746  1 Zr 2.67, 2 Sm 2.83
S  0.7633  0.7633  0.7633  3 Sm 2.81



Record 7
Here is K2Sm2ZrS6 after structural relaxation from Alexandria. Energies are from PBE.

Summary:
**Raw total energy**: -5.8633 eV per atom
**Density of states at the Fermi level**: 0.000 states/eV/atom
**Size of the total moment**: 0.0 μB/cell
**Calculated density**: 3521 kg/m3

Cell lengths 6.8992, 6.8992, 7.8918 Å; angles 98.62, 98.62, 119.42 degrees
Closest atoms and distances in Å follow each position.
Positions (direct):
K  0.1697  0.8303  0.0000  6 S 3.21-3.31
K  0.8303  0.1697  0.0000  6 S 3.21-3.31
Sm  0.3337  0.6663  0.5000  6 S 2.80-2.82
Sm  0.6663  0.3337  0.5000  6 S 2.80-2.82
Zr  0.0000  0.0000  0.5000  6 S 2.60-2.62
S  0.0656  0.3794  0.6966  1 Zr 2.62, 2 Sm 2.80-2.82
S  0.2426  0.2426  0.3046  1 Zr 2.60, 2 Sm 2.81
S  0.3794  0.0656  0.6966  1 Zr 2.62, 2 Sm 2.80-2.82
S  0.6206  0.9344  0.3034  1 Zr 2.62, 2 Sm 2.80-2.82
S  0.7574  0.7574  0.6954  1 Zr 2.60, 2 Sm 2.81
S  0.9344  0.6206  0.3034  1 Zr 2.62, 2 Sm 2.80-2.82



Record 8
Here is K2SmZrS4 after structural relaxation from Alexandria. Energies are from PBE.

Summary:
**Raw total energy**: -5.6439 eV per atom
**Density of states at the Fermi level**: 0.400 states/eV/atom
**Size of the total moment**: 0.0 μB/cell
**Calculated density**: 3710 kg/m3

Cell lengths 6.8760, 3.9325, 7.7488 Å; angles 90.00, 106.86, 90.00 degrees
Closest atoms and distances in Å follow each position.
Positions (direct):
K  0.0000  0.0000  0.0000  6 S 3.23-3.24
K  0.5000  0.5000  0.0000  6 S 3.11
Sm  0.0000  0.5000  0.5000  6 S 2.80-2.81
Zr  0.5000  0.0000  0.5000  6 S 2.65-2.68
S  0.2525  0.0000  0.7066  1 Zr 2.65, 2 Sm 2.80
S  0.2819  0.5000  0.2999  2 Zr 2.68, 1 Sm 2.81
S  0.7181  0.5000  0.7001  2 Zr 2.68, 1 Sm 2.81
S  0.7475  0.0000  0.2934  1 Zr 2.65, 2 Sm 2.80



Record 9
Here is K3Sm3ZrS8 after structural relaxation from Alexandria. Energies are from PBE.

Summary:
**Raw total energy**: -5.7384 eV per atom
**Density of states at the Fermi level**: 0.000 states/eV/atom
**Size of the total moment**: 0.0 μB/cell
**Calculated density**: 3576 kg/m3

Cell lengths 8.8431, 8.8431, 8.8431 Å; angles 54.43, 54.43, 54.43 degrees
Closest atoms and distances in Å follow each position.
Positions (direct):
K  0.0000  0.5000  0.5000  6 S 3.22
K  0.5000  0.0000  0.5000  6 S 3.22
K  0.5000  0.5000  0.0000  6 S 3.22
Sm  0.0000  0.0000  0.5000  6 S 2.80-2.82
Sm  0.0000  0.5000  0.0000  6 S 2.80-2.82
Sm  0.5000  0.0000  0.0000  6 S 2.80-2.82
Zr  0.5000  0.5000  0.5000  6 S 2.62
S  0.2352  0.2352  0.2352  3 Sm 2.80
S  0.2532  0.7205  0.7205  1 Zr 2.62, 2 Sm 2.82
S  0.2795  0.2795  0.7468  1 Zr 2.62, 2 Sm 2.82
S  0.2795  0.7468  0.2795  1 Zr 2.62, 2 Sm 2.82
S  0.7205  0.2532  0.7205  1 Zr 2.62, 2 Sm 2.82
S  0.7205  0.7205  0.2532  1 Zr 2.62, 2 Sm 2.82
S  0.7468  0.2795  0.2795  1 Zr 2.62, 2 Sm 2.82
S  0.7648  0.7648  0.7648  3 Sm 2.80



Record 10
Here is K2SnS3 after structural relaxation from Alexandria. Energies are from PBE.

Summary:
**Raw total energy**: -4.0012 eV per atom
**Density of states at the Fermi level**: 0.000 states/eV/atom
**Size of the total moment**: 0.0 μB/cell
**Calculated density**: 2796 kg/m3

Cell lengths 3.9736, 7.6089, 11.6841 Å; angles 90.01, 99.79, 90.00 degrees
Closest atoms and distances in Å follow each position.
Positions (direct):
K  0.0004  0.2501  0.0007  8 S 3.38-3.44
K  0.9996  0.7499  0.9993  8 S 3.38-3.44
K  0.1673  0.7504  0.3345  6 S 3.27-3.41
K  0.8327  0.2496  0.6655  6 S 3.27-3.41
Sn  0.3552  0.7501  0.7113  4 S 2.36-2.53
Sn  0.6448  0.2499  0.2887  4 S 2.36-2.53
S  0.2128  0.2495  0.4249  2 Sn 2.53
S  0.4124  0.0078  0.8251  1 Sn 2.36
S  0.4123  0.4921  0.8247  1 Sn 2.36
S  0.5877  0.5079  0.1753  1 Sn 2.36
S  0.5876  0.9922  0.1749  1 Sn 2.36
S  0.7872  0.7505  0.5751  2 Sn 2.53



Record 11
Here is KSnS2 after structural relaxation from Alexandria. Energies are from PBE.

Summary:
**Raw total energy**: -4.0386 eV per atom
**Density of states at the Fermi level**: 0.939 states/eV/atom
**Size of the total moment**: 0.0 μB/cell
**Calculated density**: 3514 kg/m3

Cell lengths 4.0039, 4.0039, 22.6631 Å; angles 90.00, 90.00, 120.00 degrees
Closest atoms and distances in Å follow each position.
Positions (direct):
K  0.0000  0.0000  0.0000  6 S 3.22-3.24
K  0.3333  0.6667  0.6667  6 S 3.22-3.24
K  0.6667  0.3333  0.3333  6 S 3.22-3.24
Sn  0.0000  0.0000  0.1675  6 S 2.76-2.77
Sn  0.3333  0.6667  0.8341  6 S 2.76-2.77
Sn  0.6667  0.3333  0.5008  6 S 2.76-2.77
S  0.0000  0.0000  0.5677  3 Sn 2.76
S  0.0000  0.0000  0.7667  3 Sn 2.77
S  0.3333  0.6667  0.2343  3 Sn 2.76
S  0.3333  0.6667  0.4334  3 Sn 2.77
S  0.6667  0.3333  0.1001  3 Sn 2.77
S  0.6667  0.3333  0.9010  3 Sn 2.76



Record 12
Here is KSnS4 after structural relaxation from Alexandria. Energies are from PBE.

Summary:
**Raw total energy**: -3.9572 eV per atom
**Density of states at the Fermi level**: 0.394 states/eV/atom
**Size of the total moment**: 2.1 μB/cell
**Calculated density**: 2637 kg/m3
**E above lowest polymorph**: 219 meV per atom

Cell lengths 8.1750, 8.1750, 6.5669 Å; angles 93.15, 93.15, 124.24 degrees
Closest atoms and distances in Å follow each position.
Positions (direct):
K  0.1182  0.8818  0.7500  8 S 3.37-3.53
K  0.8818  0.1182  0.2500  8 S 3.37-3.53
Sn  0.4590  0.5410  0.2500  4 S 2.49-2.51
Sn  0.5410  0.4590  0.7500  4 S 2.49-2.51
S  0.1822  0.6280  0.3440  1 S 2.01
S  0.2369  0.3487  0.9297  2 Sn 2.49-2.51
S  0.3487  0.2369  0.4297  2 Sn 2.49-2.51
S  0.3720  0.8178  0.1560  1 S 2.01
S  0.6280  0.1822  0.8440  1 S 2.01
S  0.6513  0.7631  0.5703  2 Sn 2.49-2.51
S  0.7631  0.6513  0.0703  2 Sn 2.49-2.51
S  0.8178  0.3720  0.6560  1 S 2.01